Computed, not measured: a relaxed structure of Mn3VO6 at the PBE+U level of DFT.

Computed properties:
- N(E_F) (states/eV/f.u.) = 6.06
- excess energy over the best structure of this formula in the dataset (eV per atom) = 0.2488
- M_tot (Bohr magnetons per cell) = 28.00
- energy (eV per atom) = -7.45

Cell lengths 5.2378, 5.2378, 9.6306 Å; angles 90.00, 90.00, 120.00 degrees
Closest atoms and distances in Å follow each position.
Space group P6_322 (No. 182)
Symmetry-distinct sites (fractional):
Mn  0.0000  0.0000  0.0000  6 O 2.20
Mn  0.3333  0.6667  0.0552  3 O 2.05
V  0.3333  0.6667  0.7500  6 O 1.92
O  0.0504  0.3692  0.6289  1 V 1.92, 1 Mn 2.05